Li2La2TiO6 | PBE-GGA | optimized geometry

Calculated values
Crystal system: trigonal

Cell lengths 5.6837, 5.6837, 14.6847 Å; angles 90.00, 90.00, 120.00 degrees
Space group R-3m (No. 166, hexagonal axes)
One atom of each set of equivalent atoms:
Li 0.0000 0.0000 0.0724 [6 per cell]
La 0.0000 0.0000 0.2839 [6 per cell]
Ti 0.0000 0.0000 0.5000 [3 per cell]
O 0.0269 0.5134 0.2527 [18 per cell]

---

LiLaTi2O6 | PBE-GGA | optimized geometry

Calculated values
Crystal system: orthorhombic
ΔE to the lowest computed polymorph, meV per atom: 0

Cell lengths 7.748, 5.546, 5.551 Å; angles 90.00, 90.00, 90.00 degrees
Space group Pmma (No. 51)
One atom of each set of equivalent atoms:
Li 0.000 0.000 0.000 [2 per cell]
La 0.250 0.500 0.493 [2 per cell]
Ti 0.000 0.000 0.500 [2 per cell]
Ti 0.000 0.500 0.000 [2 per cell]
O 0.024 0.259 0.742 [8 per cell]
O 0.250 0.000 0.452 [2 per cell]
O 0.250 0.500 0.053 [2 per cell]

---

LiLa3Ti4O12 | PBE-GGA | optimized geometry

Calculated values
Crystal system: monoclinic
ΔE to the lowest computed polymorph, meV per atom: 0

Cell lengths 7.842, 7.773, 7.913 Å; angles 90.00, 90.80, 90.00 degrees
Space group Cm (No. 8)
One atom of each set of equivalent atoms:
Li 0.000 0.000 0.000 [2 per cell]
La 0.430 0.500 0.557 [2 per cell]
La 0.431 0.000 0.567 [2 per cell]
La 0.452 0.000 0.071 [2 per cell]
Ti 0.188 0.249 0.310 [4 per cell]
Ti 0.197 0.254 0.826 [4 per cell]
O 0.151 0.000 0.776 [2 per cell]
O 0.171 0.000 0.373 [2 per cell]
O 0.179 0.201 0.069 [4 per cell]
O 0.194 0.293 0.572 [4 per cell]
O 0.203 0.500 0.283 [2 per cell]
O 0.246 0.500 0.863 [2 per cell]
O 0.437 0.222 0.327 [4 per cell]
O 0.444 0.198 0.819 [4 per cell]

---

LiLaTi2O6 | PBE-GGA | optimized geometry

Calculated values
Crystal system: cubic
ΔE to the lowest computed polymorph, meV per atom: 58

Cell lengths 7.781, 7.781, 7.781 Å; angles 90.00, 90.00, 90.00 degrees
Space group Fm-3m (No. 225)
One atom of each set of equivalent atoms:
Li 0.000 0.000 0.000 [4 per cell]
La 0.000 0.000 0.500 [4 per cell]
Ti 0.250 0.250 0.250 [8 per cell]
O 0.000 0.250 0.250 [24 per cell]

---

LiLaTlO3 | PBE-GGA | optimized geometry

Calculated values
Crystal system: monoclinic

Cell lengths 7.044, 3.496, 7.870 Å; angles 90.00, 102.54, 90.00 degrees
Space group P2_1/m (No. 11)
One atom of each set of equivalent atoms:
Li 0.106 0.250 0.091 [2 per cell]
La 0.298 0.750 0.840 [2 per cell]
Tl 0.296 0.750 0.381 [2 per cell]
O 0.005 0.250 0.833 [2 per cell]
O 0.353 0.250 0.614 [2 per cell]
O 0.365 0.250 0.057 [2 per cell]

---

Li2LaTlO4 | PBE-GGA | optimized geometry

Calculated values
Crystal system: tetragonal

Cell lengths 5.499, 5.499, 7.171 Å; angles 90.00, 90.00, 90.00 degrees
Space group I-42m (No. 121)
One atom of each set of equivalent atoms:
Li 0.000 0.500 0.250 [4 per cell]
La 0.000 0.000 0.000 [2 per cell]
Tl 0.000 0.000 0.500 [2 per cell]
O 0.237 0.237 0.664 [8 per cell]

---

LiLa2TlO5 | PBE-GGA | optimized geometry

Calculated values
Crystal system: orthorhombic

Cell lengths 3.628, 13.806, 10.359 Å; angles 90.00, 90.00, 90.00 degrees
Space group Cmc2_1 (No. 36)
One atom of each set of equivalent atoms:
Li 0.000 0.221 0.000 [4 per cell]
La 0.000 0.120 0.676 [4 per cell]
La 0.000 0.147 0.280 [4 per cell]
Tl 0.000 0.457 0.459 [4 per cell]
O 0.000 0.067 0.062 [4 per cell]
O 0.000 0.284 0.657 [4 per cell]
O 0.000 0.313 0.339 [4 per cell]
O 0.000 0.368 0.002 [4 per cell]
O 0.000 0.490 0.760 [4 per cell]

---

LiLa2UO6 | PBE-GGA | optimized geometry

Calculated values
Crystal system: trigonal

Cell lengths 5.9901, 5.9901, 13.9996 Å; angles 90.00, 90.00, 120.00 degrees
Space group R-3 (No. 148, hexagonal axes)
One atom of each set of equivalent atoms:
Li 0.0000 0.0000 0.0000 [3 per cell]
La 0.0000 0.0000 0.2307 [6 per cell]
U 0.0000 0.0000 0.5000 [3 per cell]
O 0.0044 0.6076 0.7567 [18 per cell]

---

Across the entries above, energy relative to the elements, uncorrected takes the values -30.362, -30.220, -63.141, -29.642, -11.678, -15.734, -21.030, -31.413 eV per formula unit, respectively.